# ZrV3Se

A geometry-optimized ZrV3Se structure (PBE, the Alexandria database).

Computed properties:
volume	20.73	Å³ per atom
E above lowest polymorph	616	kJ/mol of formula units
M_tot	0.83	Bohr magnetons per cell
ΔE_f (raw)	1.657	eV per atom

Cell and atoms, written as CIF:
```
data_ZrV3Se
_cell_length_a 4.697
_cell_length_b 4.697
_cell_length_c 4.697
_cell_angle_alpha 90.00
_cell_angle_beta 90.00
_cell_angle_gamma 90.00
_symmetry_space_group_name_H-M 'P m -3 m'
_symmetry_Int_Tables_number 221
_symmetry_space_group_name_Hall '-P 4 2 3'
loop_
_atom_site_label
_atom_site_type_symbol
_atom_site_fract_x
_atom_site_fract_y
_atom_site_fract_z
Zr1 Zr 0.000 0.000 0.000
V1 V 0.000 0.000 0.500
Se1 Se 0.500 0.500 0.500
```

=====

# ZrV4Se8

A geometry-optimized ZrV4Se8 structure (PBE, the Alexandria database).

Computed properties:
volume	21.74	Å³ per atom
M_tot	22.20	Bohr magnetons per cell
ΔE_f (raw)	-0.758	eV per atom

Cell and atoms, written as CIF:
```
data_ZrV4Se8
_cell_length_a 7.3240
_cell_length_b 7.3240
_cell_length_c 18.2482
_cell_angle_alpha 90.00
_cell_angle_beta 90.00
_cell_angle_gamma 120.00
_symmetry_space_group_name_H-M 'R -3 m'
_symmetry_Int_Tables_number 166
_symmetry_space_group_name_Hall '-R 3 2"'
loop_
_atom_site_label
_atom_site_type_symbol
_atom_site_fract_x
_atom_site_fract_y
_atom_site_fract_z
Zr1 Zr 0.0000 0.0000 0.0000
V1 V 0.0000 0.0000 0.5000
V2 V 0.0000 0.5000 0.5000
Se1 Se 0.0000 0.0000 0.2440
Se2 Se 0.0078 0.5039 0.2471
```

=====

# ZrVSe3

A geometry-optimized ZrVSe3 structure (PBE, the Alexandria database).

Computed properties:
volume	27.94	Å³ per atom
E above lowest polymorph	390	kJ/mol of formula units
M_tot	3.03	Bohr magnetons per cell
ΔE_f (raw)	-0.077	eV per atom

Cell and atoms, written as CIF:
```
data_ZrVSe3
_cell_length_a 5.189
_cell_length_b 5.189
_cell_length_c 5.189
_cell_angle_alpha 90.00
_cell_angle_beta 90.00
_cell_angle_gamma 90.00
_symmetry_space_group_name_H-M 'P m -3 m'
_symmetry_Int_Tables_number 221
_symmetry_space_group_name_Hall '-P 4 2 3'
loop_
_atom_site_label
_atom_site_type_symbol
_atom_site_fract_x
_atom_site_fract_y
_atom_site_fract_z
Zr1 Zr 0.000 0.000 0.000
V1 V 0.500 0.500 0.500
Se1 Se 0.000 0.000 0.500
```

=====

# ZrV3Se

A geometry-optimized ZrV3Se structure (PBE, the Alexandria database).

Computed properties:
volume	18.33	Å³ per atom
E above lowest polymorph	0	kJ/mol of formula units
M_tot	1.27	Bohr magnetons per cell
ΔE_f (raw)	0.381	eV per atom

Cell and atoms, written as CIF:
```
data_ZrV3Se
_cell_length_a 4.508
_cell_length_b 4.508
_cell_length_c 4.508
_cell_angle_alpha 90.00
_cell_angle_beta 90.00
_cell_angle_gamma 90.00
_symmetry_space_group_name_H-M 'P m -3 m'
_symmetry_Int_Tables_number 221
_symmetry_space_group_name_Hall '-P 4 2 3'
loop_
_atom_site_label
_atom_site_type_symbol
_atom_site_fract_x
_atom_site_fract_y
_atom_site_fract_z
Zr1 Zr 0.000 0.000 0.000
V1 V 0.000 0.500 0.500
Se1 Se 0.500 0.500 0.500
```

=====

# ZrVSe3

A geometry-optimized ZrVSe3 structure (PBE, the Alexandria database).

Computed properties:
volume	23.45	Å³ per atom
E above lowest polymorph	0	kJ/mol of formula units
M_tot	2.11	Bohr magnetons per cell
ΔE_f (raw)	-0.885	eV per atom

Cell and atoms, written as CIF:
```
data_ZrVSe3
_cell_length_a 6.719
_cell_length_b 3.671
_cell_length_c 9.711
_cell_angle_alpha 90.00
_cell_angle_beta 101.78
_cell_angle_gamma 90.00
_symmetry_space_group_name_H-M 'P 1 21/m 1'
_symmetry_Int_Tables_number 11
_symmetry_space_group_name_Hall '-P 2yb'
loop_
_atom_site_label
_atom_site_type_symbol
_atom_site_fract_x
_atom_site_fract_y
_atom_site_fract_z
Zr1 Zr 0.221 0.250 0.438
V1 V 0.407 0.250 0.894
Se1 Se 0.063 0.250 0.677
Se2 Se 0.238 0.750 0.981
Se3 Se 0.455 0.750 0.335
```

=====

# Zr2VSe2

A geometry-optimized Zr2VSe2 structure (PBE, the Alexandria database).

Computed properties:
volume	18.33	Å³ per atom
M_tot	0.01	Bohr magnetons per cell
ΔE_f (raw)	-0.655	eV per atom

Cell and atoms, written as CIF:
```
data_Zr2VSe2
_cell_length_a 7.050
_cell_length_b 7.050
_cell_length_c 3.688
_cell_angle_alpha 90.00
_cell_angle_beta 90.00
_cell_angle_gamma 90.00
_symmetry_space_group_name_H-M 'P 4/m b m'
_symmetry_Int_Tables_number 127
_symmetry_space_group_name_Hall '-P 4 2ab'
loop_
_atom_site_label
_atom_site_type_symbol
_atom_site_fract_x
_atom_site_fract_y
_atom_site_fract_z
Zr1 Zr 0.157 0.343 0.000
V1 V 0.000 0.000 0.500
Se1 Se 0.152 0.652 0.500
```

=====

# ZrVSe3

A geometry-optimized ZrVSe3 structure (PBE, the Alexandria database).

Computed properties:
volume	22.40	Å³ per atom
E above lowest polymorph	351	kJ/mol of formula units
M_tot	2.91	Bohr magnetons per cell
ΔE_f (raw)	-0.156	eV per atom

Cell and atoms, written as CIF:
```
data_ZrVSe3
_cell_length_a 4.821
_cell_length_b 4.821
_cell_length_c 4.821
_cell_angle_alpha 90.00
_cell_angle_beta 90.00
_cell_angle_gamma 90.00
_symmetry_space_group_name_H-M 'P m -3 m'
_symmetry_Int_Tables_number 221
_symmetry_space_group_name_Hall '-P 4 2 3'
loop_
_atom_site_label
_atom_site_type_symbol
_atom_site_fract_x
_atom_site_fract_y
_atom_site_fract_z
Zr1 Zr 0.000 0.000 0.000
V1 V 0.500 0.500 0.500
Se1 Se 0.000 0.500 0.500
```

=====

# W3Se

A geometry-optimized W3Se structure (PBE, the Alexandria database).

Computed properties:
volume	16.40	Å³ per atom
E above lowest polymorph	116	kJ/mol of formula units
M_tot	0.00	Bohr magnetons per cell
ΔE_f (raw)	0.698	eV per atom

Cell and atoms, written as CIF:
```
data_W3Se
_cell_length_a 6.402
_cell_length_b 6.402
_cell_length_c 6.402
_cell_angle_alpha 90.00
_cell_angle_beta 90.00
_cell_angle_gamma 90.00
_symmetry_space_group_name_H-M 'F m -3 m'
_symmetry_Int_Tables_number 225
_symmetry_space_group_name_Hall '-F 4 2 3'
loop_
_atom_site_label
_atom_site_type_symbol
_atom_site_fract_x
_atom_site_fract_y
_atom_site_fract_z
W1 W 0.000 0.000 0.000
W2 W 0.250 0.250 0.250
Se1 Se 0.000 0.000 0.500
```

=====

# WSe

A geometry-optimized WSe structure (PBE, the Alexandria database).

Computed properties:
volume	17.44	Å³ per atom
E above lowest polymorph	204	kJ/mol of formula units
M_tot	0.00	Bohr magnetons per cell
ΔE_f (raw)	0.888	eV per atom

Cell and atoms, written as CIF:
```
data_WSe
_cell_length_a 3.046
_cell_length_b 5.492
_cell_length_c 4.170
_cell_angle_alpha 90.00
_cell_angle_beta 90.00
_cell_angle_gamma 90.00
_symmetry_space_group_name_H-M 'C m m m'
_symmetry_Int_Tables_number 65
_symmetry_space_group_name_Hall '-C 2 2'
loop_
_atom_site_label
_atom_site_type_symbol
_atom_site_fract_x
_atom_site_fract_y
_atom_site_fract_z
W1 W 0.000 0.000 0.000
Se1 Se 0.000 0.500 0.500
```

=====

# W3Se4

A geometry-optimized W3Se4 structure (PBE, the Alexandria database).

Computed properties:
volume	20.10	Å³ per atom
E above lowest polymorph	0	kJ/mol of formula units
M_tot	0.00	Bohr magnetons per cell
ΔE_f (raw)	-0.059	eV per atom

Cell and atoms, written as CIF:
```
data_W3Se4
_cell_length_a 3.072
_cell_length_b 3.072
_cell_length_c 29.821
_cell_angle_alpha 90.00
_cell_angle_beta 90.00
_cell_angle_gamma 90.00
_symmetry_space_group_name_H-M 'I 4/m m m'
_symmetry_Int_Tables_number 139
_symmetry_space_group_name_Hall '-I 4 2'
loop_
_atom_site_label
_atom_site_type_symbol
_atom_site_fract_x
_atom_site_fract_y
_atom_site_fract_z
W1 W 0.000 0.000 0.000
W2 W 0.000 0.000 0.284
Se1 Se 0.000 0.000 0.168
Se2 Se 0.000 0.000 0.448
```

=====

# WSe

A geometry-optimized WSe structure (PBE, the Alexandria database).

Computed properties:
volume	16.40	Å³ per atom
E above lowest polymorph	125	kJ/mol of formula units
M_tot	0.00	Bohr magnetons per cell
ΔE_f (raw)	0.480	eV per atom

Cell and atoms, written as CIF:
```
data_WSe
_cell_length_a 3.0470
_cell_length_b 3.0470
_cell_length_c 8.1576
_cell_angle_alpha 90.00
_cell_angle_beta 90.00
_cell_angle_gamma 120.00
_symmetry_space_group_name_H-M 'P 63/m m c'
_symmetry_Int_Tables_number 194
_symmetry_space_group_name_Hall '-P 6c 2c'
loop_
_atom_site_label
_atom_site_type_symbol
_atom_site_fract_x
_atom_site_fract_y
_atom_site_fract_z
W1 W 0.3333 0.6667 0.2500
Se1 Se 0.0000 0.0000 0.0000
```

=====

# WSe

A geometry-optimized WSe structure (PBE, the Alexandria database).

Computed properties:
volume	18.80	Å³ per atom
E above lowest polymorph	71	kJ/mol of formula units
M_tot	0.00	Bohr magnetons per cell
ΔE_f (raw)	0.199	eV per atom

Cell and atoms, written as CIF:
```
data_WSe
_cell_length_a 3.272
_cell_length_b 12.271
_cell_length_c 5.619
_cell_angle_alpha 90.00
_cell_angle_beta 90.00
_cell_angle_gamma 90.00
_symmetry_space_group_name_H-M 'A m m 2'
_symmetry_Int_Tables_number 38
_symmetry_space_group_name_Hall 'A 2 -2'
loop_
_atom_site_label
_atom_site_type_symbol
_atom_site_fract_x
_atom_site_fract_y
_atom_site_fract_z
W1 W 0.000 0.000 0.000
W2 W 0.500 0.184 0.932
Se1 Se 0.000 0.165 0.280
Se2 Se 0.500 0.000 0.666
```